1.
A relaxed Mg4ScCd crystal, computed with GGA-PBEsol.

The structure belongs to space group F-43m (No. 216); the cell edges are 8.1516, 8.1516 and 8.1516 Å and the angles 90.00°, 90.00° and 90.00°. The asymmetric unit holds Mg at (0.1244, 0.1244, 0.3756), Sc at (0.2500, 0.2500, 0.7500) and Cd at (0.0000, 0.0000, 0.0000).

As for the formation energy: 0.093 eV per atom.

=====

2.
A relaxed BeHgAu crystal, computed with GGA-PBEsol.

The structure belongs to space group P3m1 (No. 156); the cell edges are 4.0080, 4.0080 and 3.6053 Å and the angles 90.00°, 90.00° and 120.00°. The asymmetric unit holds Be at (0.0000, 0.0000, 0.0000), Hg at (0.6667, 0.3333, 0.4900) and Au at (0.3333, 0.6667, 0.9877).

As for the formation energy: 0.159 eV per atom.

=====

3.
A relaxed CoRu2Cl crystal, computed with GGA-PBEsol.

The structure belongs to space group C2/m (No. 12); the cell edges are 7.8614, 2.7299 and 7.3325 Å and the angles 90.00°, 122.21° and 90.00°. The asymmetric unit holds Co at (0.0000, 0.0000, 0.0000), Ru at (0.1986, 0.0000, 0.8340) and Cl at (0.0000, 0.5000, 0.5000).

For the energy above the lowest structure with this stoichiometry, the calculation gives 267 meV per atom.

=====

4.
A relaxed Cd2P2O7 crystal, computed with GGA-PBEsol.

The structure belongs to space group P-1 (No. 2); the cell edges are 6.6162, 6.6772 and 6.8263 Å and the angles 83.79°, 64.94° and 81.87°. The asymmetric unit holds Cd at (0.1181, 0.1630, 0.2508), Cd at (0.2777, 0.3550, 0.6563), P at (0.2349, 0.6602, 0.2480), P at (0.3606, 0.8649, 0.8117), O at (0.0704, 0.8384, 0.3647), O at (0.0949, 0.5071, 0.2228), O at (0.2099, 0.7447, 0.7652), O at (0.2584, 0.0809, 0.8874), O at (0.3936, 0.5669, 0.3509), O at (0.3998, 0.1378, 0.3657) and O at (0.4029, 0.7450, 0.0151).

The value obtained for the total energy is -6.52 eV/atom.

=====

Listing volume for the structures above in their given order: 22.57; 16.72; 16.64; 12.28 Å³ per atom.